1.
! Ba2Pa2Te7 (PBE, relaxed); values from VASP
&SYSTEM
  ibrav = 0, nat = 11, ntyp = 3
/
ATOMIC_SPECIES
Te 127.60 Te.upf
Pa 231.04 Pa.upf
Ba 137.33 Ba.upf
CELL_PARAMETERS angstrom
7.488 -0.003 -0.330
0.004 7.924 0.003
-0.795 -0.003 7.453
ATOMIC_POSITIONS crystal
Te 0.500 0.761 0.000
Te 0.500 0.779 0.500
Te 0.500 0.239 0.000
Te 0.000 0.239 0.500
Te 0.000 0.761 0.500
Te 0.000 0.000 0.000
Te 0.500 0.221 0.500
Pa 0.727 0.000 0.273
Pa 0.273 0.000 0.727
Ba 0.760 0.500 0.760
Ba 0.240 0.500 0.240
! Crystal system: orthorhombic
! Size of the total moment (μB per formula unit): 0.33
! Formation energy (no corrections) (meV per atom): -1016


2.
! KNaCa2Br6 (PBE, relaxed); values from VASP
&SYSTEM
  ibrav = 0, nat = 10, ntyp = 4
/
ATOMIC_SPECIES
Ca 40.08 Ca.upf
Br 79.90 Br.upf
Na 22.99 Na.upf
K 39.10 K.upf
CELL_PARAMETERS angstrom
-0.517 4.774 5.982
-3.349 -2.338 6.494
4.632 -1.383 6.420
ATOMIC_POSITIONS crystal
Ca 0.008 0.008 0.976
Ca 0.515 0.515 0.454
Br 0.245 0.894 0.234
Br 0.894 0.626 0.234
Br 0.738 0.164 0.740
Br 0.358 0.738 0.740
Br 0.626 0.245 0.234
Br 0.164 0.358 0.740
Na 0.313 0.313 0.061
K 0.799 0.799 0.602
! Crystal system: trigonal
! Size of the total moment (μB per formula unit): 0.00
! Formation energy (no corrections) (meV per atom): -1874


3.
! TeRuN3 (PBE, relaxed); values from VASP
&SYSTEM
  ibrav = 0, nat = 5, ntyp = 3
/
ATOMIC_SPECIES
Ru 101.07 Ru.upf
N 14.01 N.upf
Te 127.60 Te.upf
CELL_PARAMETERS angstrom
-2.544 -2.497 -1.646
2.293 -0.241 -3.178
1.920 -3.021 1.615
ATOMIC_POSITIONS crystal
Ru 0.000 0.000 0.000
N 0.000 0.500 0.000
N 0.000 0.000 0.500
N 0.500 0.000 0.000
Te 0.500 0.500 0.500
! Crystal system: cubic
! Size of the total moment (μB per formula unit): 0.00
! Formation energy (no corrections) (meV per atom): 1370


4.
! YCo3Br (PBE, relaxed); values from VASP
&SYSTEM
  ibrav = 0, nat = 5, ntyp = 3
/
ATOMIC_SPECIES
Co 58.93 Co.upf
Br 79.90 Br.upf
Y 88.91 Y.upf
CELL_PARAMETERS angstrom
-1.332 -1.706 3.827
-1.356 -3.624 -2.088
3.965 -1.813 0.572
ATOMIC_POSITIONS crystal
Co 0.000 0.500 0.000
Co 0.500 0.000 0.000
Co 0.000 0.000 0.500
Br 0.000 0.000 0.000
Y 0.500 0.500 0.500
! Polymorph energy (0 for the lowest one) (eV per formula unit): 0.00
! Crystal system: cubic
! Size of the total moment (μB per formula unit): 1.21
! Formation energy (no corrections) (meV per atom): 620


5.
! Ca2AlPd2 (PBE, relaxed); values from VASP
&SYSTEM
  ibrav = 0, nat = 10, ntyp = 3
/
ATOMIC_SPECIES
Al 26.98 Al.upf
Pd 106.42 Pd.upf
Ca 40.08 Ca.upf
CELL_PARAMETERS angstrom
-1.862 3.074 -6.059
-2.576 -6.132 -2.320
-3.916 0.998 1.710
ATOMIC_POSITIONS crystal
Al 0.000 0.000 0.000
Al 0.500 0.500 0.000
Pd 0.641 0.141 0.000
Pd 0.141 0.359 0.000
Pd 0.359 0.859 0.000
Pd 0.859 0.641 0.000
Ca 0.670 0.830 0.500
Ca 0.830 0.330 0.500
Ca 0.330 0.170 0.500
Ca 0.170 0.670 0.500
! Crystal system: tetragonal
! Total energy (eV/atom): -4.26
! Size of the total moment (μB per formula unit): 0.00


6.
! TaBe2Tc (PBE, relaxed); values from VASP
&SYSTEM
  ibrav = 0, nat = 4, ntyp = 3
/
ATOMIC_SPECIES
Ta 180.95 Ta.upf
Tc 98.00 Tc.upf
Be 9.01 Be.upf
CELL_PARAMETERS angstrom
-5.240 -5.122 -4.282
-5.473 -6.233 -1.797
-7.014 -4.083 -2.482
ATOMIC_POSITIONS crystal
Ta 0.250 0.250 0.250
Tc 0.750 0.750 0.750
Be 0.007 0.007 0.007
Be 0.493 0.493 0.493
! Polymorph energy (0 for the lowest one) (eV per formula unit): 2.74
! Crystal system: trigonal
! Size of the total moment (μB per formula unit): 0.00


7.
! TbNdPu2P4 (PBE, relaxed); values from VASP
&SYSTEM
  ibrav = 0, nat = 8, ntyp = 4
/
ATOMIC_SPECIES
P 30.97 P.upf
Nd 144.24 Nd.upf
Pu 244.00 Pu.upf
Tb 158.93 Tb.upf
CELL_PARAMETERS angstrom
-3.468 0.705 -1.967
-3.442 -3.890 4.675
-2.172 4.043 5.278
ATOMIC_POSITIONS crystal
P 0.000 0.762 0.740
P 0.500 0.241 0.750
P 0.000 0.238 0.260
P 0.500 0.759 0.250
Nd 0.500 0.500 0.000
Pu 0.500 0.000 0.500
Pu 0.000 0.000 0.000
Tb 0.000 0.500 0.500
! Crystal system: monoclinic
! Total energy (eV/atom): -8.79
! Size of the total moment (μB per formula unit): 0.07


8.
! Sm4CS2F (PBE, relaxed); values from VASP
&SYSTEM
  ibrav = 0, nat = 8, ntyp = 4
/
ATOMIC_SPECIES
Sm 150.36 Sm.upf
S 32.06 S.upf
F 19.00 F.upf
C 12.01 C.upf
CELL_PARAMETERS angstrom
3.823 0.000 0.000
0.000 6.703 0.179
0.000 -2.282 6.321
ATOMIC_POSITIONS crystal
Sm 0.000 0.723 0.218
Sm 0.500 0.731 0.765
Sm 0.000 0.277 0.782
Sm 0.500 0.269 0.235
S 0.000 0.500 0.500
S 0.500 0.000 0.500
F 0.000 0.000 0.000
C 0.500 0.500 0.000
! Crystal system: monoclinic
! Size of the total moment (μB per formula unit): 0.00
! Formation energy (no corrections) (meV per atom): -1702


9.
! Sm5Dy6Sc2 (PBE, relaxed); values from VASP
&SYSTEM
  ibrav = 0, nat = 26, ntyp = 3
/
ATOMIC_SPECIES
Sc 44.96 Sc.upf
Dy 162.50 Dy.upf
Sm 150.36 Sm.upf
CELL_PARAMETERS angstrom
3.583 0.000 0.000
0.000 11.299 0.000
0.000 0.000 20.334
ATOMIC_POSITIONS crystal
Sc 0.000 0.388 0.286
Sc 0.000 0.888 0.214
Sc 0.000 0.112 0.786
Sc 0.000 0.612 0.714
Dy 0.000 0.832 0.617
Dy 0.500 0.420 0.155
Dy 0.000 0.168 0.383
Dy 0.000 0.332 0.883
Dy 0.000 0.721 0.445
Dy 0.500 0.080 0.655
Dy 0.000 0.779 0.945
Dy 0.500 0.920 0.345
Dy 0.000 0.221 0.055
Dy 0.500 0.580 0.845
Dy 0.000 0.279 0.555
Dy 0.000 0.668 0.117
Sm 0.500 0.647 0.278
Sm 0.500 0.853 0.778
Sm 0.500 0.439 0.422
Sm 0.500 0.000 0.500
Sm 0.500 0.939 0.078
Sm 0.500 0.561 0.578
Sm 0.500 0.353 0.722
Sm 0.500 0.061 0.922
Sm 0.500 0.147 0.222
Sm 0.500 0.500 0.000
! Crystal system: orthorhombic
! Total energy (eV/atom): -4.86
! Size of the total moment (μB per formula unit): 0.00


10.
! GaNi2Mo (PBE, relaxed); values from VASP
&SYSTEM
  ibrav = 0, nat = 8, ntyp = 3
/
ATOMIC_SPECIES
Ga 69.72 Ga.upf
Mo 95.94 Mo.upf
Ni 58.69 Ni.upf
CELL_PARAMETERS angstrom
5.100 0.000 -0.015
0.000 4.136 0.000
-1.861 0.000 4.941
ATOMIC_POSITIONS crystal
Ga 0.601 0.000 0.940
Ga 0.318 0.500 0.153
Mo 0.642 0.000 0.454
Mo 0.132 0.000 0.453
Ni 0.829 0.500 0.174
Ni 0.444 0.500 0.665
Ni 0.946 0.500 0.665
Ni 0.090 0.000 0.948
! Crystal system: monoclinic
! Total energy (eV/atom): -6.50
! Size of the total moment (μB per formula unit): 0.00


11.
! La4BiSbC (PBE, relaxed); values from VASP
&SYSTEM
  ibrav = 0, nat = 14, ntyp = 4
/
ATOMIC_SPECIES
Bi 208.98 Bi.upf
La 138.91 La.upf
Sb 121.76 Sb.upf
C 12.01 C.upf
CELL_PARAMETERS angstrom
7.260 0.000 0.000
0.000 7.266 0.000
-3.630 0.000 8.372
ATOMIC_POSITIONS crystal
Bi 0.608 0.750 0.216
Bi 0.392 0.250 0.784
La 0.910 0.250 0.820
La 0.000 0.000 0.500
La 0.000 0.500 0.500
La 0.500 0.000 0.500
La 0.407 0.750 0.814
La 0.500 0.500 0.500
La 0.593 0.250 0.186
La 0.090 0.750 0.180
Sb 0.889 0.750 0.779
Sb 0.111 0.250 0.221
C 0.255 0.750 0.509
C 0.745 0.250 0.491
! Crystal system: orthorhombic
! Size of the total moment (μB per formula unit): 0.00
! Formation energy (no corrections) (meV per atom): -704


12.
! SmWN2 (PBE, relaxed); values from VASP
&SYSTEM
  ibrav = 0, nat = 4, ntyp = 3
/
ATOMIC_SPECIES
W 183.84 W.upf
N 14.01 N.upf
Sm 150.36 Sm.upf
CELL_PARAMETERS angstrom
-0.570 -2.086 2.441
1.881 0.053 2.663
-2.912 2.922 3.996
ATOMIC_POSITIONS crystal
W 0.000 0.000 0.000
N 0.264 0.264 0.209
N 0.736 0.736 0.791
Sm 0.500 0.500 0.500
! Polymorph energy (0 for the lowest one) (eV per formula unit): 0.97
! Crystal system: trigonal
! Size of the total moment (μB per formula unit): 0.00
! Formation energy (no corrections) (meV per atom): -738


13.
! ZrCdSi2 (PBE, relaxed); values from VASP
&SYSTEM
  ibrav = 0, nat = 4, ntyp = 3
/
ATOMIC_SPECIES
Zr 91.22 Zr.upf
Cd 112.41 Cd.upf
Si 28.09 Si.upf
CELL_PARAMETERS angstrom
4.755 0.000 0.000
2.378 4.118 0.000
2.378 1.373 3.883
ATOMIC_POSITIONS crystal
Zr 0.250 0.250 0.250
Cd 0.500 0.500 0.500
Si 0.000 0.000 0.000
Si 0.750 0.750 0.750
! Crystal system: cubic
! Size of the total moment (μB per formula unit): 0.00
! Formation energy (no corrections) (meV per atom): 342


14.
! LiZnCoPb (PBE, relaxed); values from VASP
&SYSTEM
  ibrav = 0, nat = 4, ntyp = 4
/
ATOMIC_SPECIES
Zn 65.41 Zn.upf
Li 6.94 Li.upf
Co 58.93 Co.upf
Pb 207.20 Pb.upf
CELL_PARAMETERS angstrom
4.436 0.000 0.000
2.218 3.841 0.000
2.218 1.280 3.622
ATOMIC_POSITIONS crystal
Zn 0.250 0.250 0.250
Li 0.500 0.500 0.500
Co 0.000 0.000 0.000
Pb 0.750 0.750 0.750
! Crystal system: cubic
! Total energy (eV/atom): -3.45
! Size of the total moment (μB per formula unit): 0.00


15.
! Cd2NiGe (PBE, relaxed); values from VASP
&SYSTEM
  ibrav = 0, nat = 8, ntyp = 3
/
ATOMIC_SPECIES
Ni 58.69 Ni.upf
Cd 112.41 Cd.upf
Ge 72.64 Ge.upf
CELL_PARAMETERS angstrom
-6.828 -3.835 -6.074
4.949 -8.585 -0.143
-2.100 -6.908 -1.363
ATOMIC_POSITIONS crystal
Ni 0.250 0.750 0.500
Ni 0.500 0.500 0.000
Cd 0.375 0.625 0.750
Cd 0.375 0.125 0.250
Cd 0.875 0.625 0.750
Cd 0.375 0.625 0.250
Ge 0.750 0.250 0.500
Ge 0.000 0.000 0.000
! Crystal system: tetragonal
! Total energy (eV/atom): -2.97
! Size of the total moment (μB per formula unit): 0.00


16.
! Li2SmSc (PBE, relaxed); values from VASP
&SYSTEM
  ibrav = 0, nat = 4, ntyp = 3
/
ATOMIC_SPECIES
Li 6.94 Li.upf
Sc 44.96 Sc.upf
Sm 150.36 Sm.upf
CELL_PARAMETERS angstrom
-0.665 -0.326 3.146
2.306 -0.970 2.047
3.612 10.649 3.527
ATOMIC_POSITIONS crystal
Li 0.915 0.915 0.256
Li 0.085 0.085 0.744
Sc 0.000 0.000 0.000
Sm 0.500 0.500 0.500
! Polymorph energy (0 for the lowest one) (eV per formula unit): 0.53
! Crystal system: trigonal
! Size of the total moment (μB per formula unit): 0.33


17.
! CoRu2Se (PBE, relaxed); values from VASP
&SYSTEM
  ibrav = 0, nat = 4, ntyp = 3
/
ATOMIC_SPECIES
Ru 101.07 Ru.upf
Co 58.93 Co.upf
Se 78.96 Se.upf
CELL_PARAMETERS angstrom
4.401 -0.007 -0.029
3.477 2.697 -0.029
0.828 0.283 4.671
ATOMIC_POSITIONS crystal
Ru 0.995 0.995 0.014
Ru 0.505 0.505 0.486
Co 0.250 0.250 0.250
Se 0.750 0.750 0.750
! Crystal system: monoclinic
! Size of the total moment (μB per formula unit): 1.55
! Formation energy (no corrections) (meV per atom): 333


18.
! TlIO4 (PBE, relaxed); values from VASP
&SYSTEM
  ibrav = 0, nat = 12, ntyp = 3
/
ATOMIC_SPECIES
O 16.00 O.upf
Tl 204.38 Tl.upf
I 126.90 I.upf
CELL_PARAMETERS angstrom
-4.222 2.740 0.703
-1.687 -1.125 -5.750
-2.148 -4.300 3.860
ATOMIC_POSITIONS crystal
O 0.168 0.863 0.670
O 0.789 0.674 0.867
O 0.668 0.637 0.330
O 0.289 0.826 0.133
O 0.832 0.137 0.330
O 0.711 0.174 0.867
O 0.211 0.326 0.133
O 0.332 0.363 0.670
Tl 0.000 0.500 0.500
Tl 0.500 0.000 0.500
I 0.500 0.500 0.000
I 0.000 0.000 0.000
! Polymorph energy (0 for the lowest one) (eV per formula unit): 0.15
! Crystal system: monoclinic
! Size of the total moment (μB per formula unit): 0.00
! Formation energy (no corrections) (meV per atom): -338


19.
! PrSiPRh6 (PBE, relaxed); values from VASP
&SYSTEM
  ibrav = 0, nat = 18, ntyp = 4
/
ATOMIC_SPECIES
Si 28.09 Si.upf
Rh 102.91 Rh.upf
P 30.97 P.upf
Pr 140.91 Pr.upf
CELL_PARAMETERS angstrom
6.143 0.000 0.000
0.000 9.057 0.000
-3.072 -4.528 5.668
ATOMIC_POSITIONS crystal
Si 0.500 0.000 0.500
Si 0.000 0.000 0.500
Rh 0.374 0.649 0.265
Rh 0.626 0.885 0.735
Rh 0.109 0.351 0.735
Rh 0.097 0.847 0.194
Rh 0.626 0.351 0.735
Rh 0.561 0.311 0.123
Rh 0.891 0.115 0.265
Rh 0.109 0.885 0.735
Rh 0.903 0.153 0.806
Rh 0.374 0.115 0.265
Rh 0.891 0.649 0.265
Rh 0.439 0.689 0.877
P 0.500 0.000 0.000
P 0.500 0.500 0.000
Pr 0.822 0.572 0.643
Pr 0.178 0.428 0.357
! Crystal system: orthorhombic
! Size of the total moment (μB per formula unit): 0.00
! Formation energy (no corrections) (meV per atom): -305


20.
! LaTePdN2 (PBE, relaxed); values from VASP
&SYSTEM
  ibrav = 0, nat = 5, ntyp = 4
/
ATOMIC_SPECIES
Te 127.60 Te.upf
N 14.01 N.upf
Pd 106.42 Pd.upf
La 138.91 La.upf
CELL_PARAMETERS angstrom
4.101 0.000 0.000
0.000 4.101 0.000
0.000 0.000 7.120
ATOMIC_POSITIONS crystal
Te 0.000 0.000 0.500
N 0.000 0.500 0.000
N 0.500 0.000 0.000
Pd 0.500 0.500 0.500
La 0.000 0.000 0.000
! Polymorph energy (0 for the lowest one) (eV per formula unit): 1.33
! Crystal system: tetragonal
! Size of the total moment (μB per formula unit): 0.00
! Formation energy (no corrections) (meV per atom): 858


21.
! LaDy2UP4 (PBE, relaxed); values from VASP
&SYSTEM
  ibrav = 0, nat = 8, ntyp = 4
/
ATOMIC_SPECIES
Dy 162.50 Dy.upf
P 30.97 P.upf
La 138.91 La.upf
U 238.03 U.upf
CELL_PARAMETERS angstrom
4.039 0.000 0.000
0.000 7.038 0.143
0.000 -2.440 6.559
ATOMIC_POSITIONS crystal
Dy 0.500 0.000 0.500
Dy 0.000 0.500 0.500
P 0.500 0.760 0.750
P 0.000 0.765 0.255
P 0.500 0.240 0.250
P 0.000 0.235 0.745
La 0.500 0.500 0.000
U 0.000 0.000 0.000
! Crystal system: monoclinic
! Total energy (eV/atom): -7.30
! Size of the total moment (μB per formula unit): 2.15


22.
! Pr3Se3Br (PBE, relaxed); values from VASP
&SYSTEM
  ibrav = 0, nat = 14, ntyp = 3
/
ATOMIC_SPECIES
Se 78.96 Se.upf
Pr 140.91 Pr.upf
Br 79.90 Br.upf
CELL_PARAMETERS angstrom
9.007 0.000 0.000
4.503 7.800 0.000
4.503 2.600 5.970
ATOMIC_POSITIONS crystal
Se 0.910 0.615 0.263
Se 0.212 0.910 0.263
Se 0.615 0.212 0.263
Se 0.788 0.090 0.737
Se 0.090 0.385 0.737
Se 0.385 0.788 0.737
Pr 0.720 0.437 0.760
Pr 0.280 0.563 0.240
Pr 0.563 0.917 0.240
Pr 0.917 0.280 0.240
Pr 0.437 0.083 0.760
Pr 0.083 0.720 0.760
Br 0.671 0.671 0.987
Br 0.329 0.329 0.013
! Crystal system: trigonal
! Size of the total moment (μB per formula unit): 0.00
! Formation energy (no corrections) (meV per atom): -1763


23.
! YCuSb2 (PBE, relaxed); values from VASP
&SYSTEM
  ibrav = 0, nat = 8, ntyp = 3
/
ATOMIC_SPECIES
Sb 121.76 Sb.upf
Y 88.91 Y.upf
Cu 63.55 Cu.upf
CELL_PARAMETERS angstrom
7.790 0.000 0.000
0.000 7.790 0.000
3.895 3.895 3.179
ATOMIC_POSITIONS crystal
Sb 0.875 0.821 0.750
Sb 0.179 0.625 0.250
Sb 0.375 0.429 0.750
Sb 0.571 0.125 0.250
Y 0.750 0.250 0.500
Y 0.000 0.000 0.000
Cu 0.500 0.500 0.000
Cu 0.250 0.750 0.500
! Polymorph energy (0 for the lowest one) (eV per formula unit): 0.81
! Crystal system: tetragonal
! Size of the total moment (μB per formula unit): 0.00
! Formation energy (no corrections) (meV per atom): -420


24.
! Cs2ZrInI (PBE, relaxed); values from VASP
&SYSTEM
  ibrav = 0, nat = 5, ntyp = 4
/
ATOMIC_SPECIES
Zr 91.22 Zr.upf
Cs 132.91 Cs.upf
In 114.82 In.upf
I 126.90 I.upf
CELL_PARAMETERS angstrom
7.049 0.000 0.000
0.000 5.595 0.000
0.000 0.000 7.049
ATOMIC_POSITIONS crystal
Zr 0.000 0.000 0.000
Cs 0.000 0.000 0.500
Cs 0.500 0.000 0.000
In 0.000 0.500 0.000
I 0.500 0.500 0.500
! Crystal system: tetragonal
! Size of the total moment (μB per formula unit): 2.98
! Formation energy (no corrections) (meV per atom): 312